Entry 1:
Below is a geometry-optimized BaScGa2Pd2 structure, with properties calculated at the GGA-PBE level.

Output
- space group = No. 164
- uncorrected energy (eV per atom) = -4.866
- Fermi-level density of states (states/eV/f.u.) = 4.64

abc: 4.5071 4.5071 7.6955
angles: 90.00 90.00 120.00
Last column: nearest neighbours and their distance in Å.
Positions (direct):
Pd  0.6667  0.3333  0.3239  4 Ga 2.60-2.75
Pd  0.3333  0.6667  0.6761  4 Ga 2.60-2.75
Ba  0.0000  0.0000  0.0000  6 Ga 3.58, 6 Pd 3.60, 2 Sc 3.85
Ga  0.3333  0.6667  0.3187  4 Pd 2.60-2.75
Ga  0.6667  0.3333  0.6813  4 Pd 2.60-2.75
Sc  0.0000  0.0000  0.5000  6 Pd 2.93, 6 Ga 2.95

Entry 2:
Below is a geometry-optimized Ba2Ga3SiPd4 structure, with properties calculated at the GGA-PBE level.

Output
- space group = No. 115
- energy relative to the elements, uncorrected (eV/f.u.) = -6.52
- uncorrected energy (eV per atom) = -4.564
- Fermi-level density of states (states/eV/f.u.) = 3.90

abc: 4.5460 4.5460 10.3765
angles: 90.00 90.00 90.00
Last column: nearest neighbours and their distance in Å.
Positions (direct):
Ga  0.5000  0.0000  0.8802  5 Pd 2.59-2.76
Ga  0.0000  0.0000  0.5000  4 Pd 2.56
Ga  0.0000  0.5000  0.1198  5 Pd 2.59-2.76
Pd  0.0000  0.0000  0.0000  4 Ga 2.59
Pd  0.5000  0.0000  0.6138  2 Si 2.56, 3 Ga 2.56-2.76
Pd  0.5000  0.5000  0.0000  4 Ga 2.59
Pd  0.0000  0.5000  0.3862  2 Si 2.56, 3 Ga 2.56-2.76
Ba  0.5000  0.0000  0.2504  7 Ga 3.45-3.84, 2 Si 3.45, 9 Pd 3.45-3.77
Ba  0.0000  0.5000  0.7496  2 Si 3.45, 7 Ga 3.45-3.84, 9 Pd 3.45-3.77
Si  0.5000  0.5000  0.5000  4 Pd 2.56

Entry 3:
Below is a geometry-optimized BaGa2SiPd structure, with properties calculated at the GGA-PBE level.

Output
- space group = No. 44
- energy relative to the elements, uncorrected (eV/f.u.) = -2.53
- uncorrected energy (eV per atom) = -4.224
- Fermi-level density of states (states/eV/f.u.) = 3.06

abc: 4.4893 4.3918 6.2909
angles: 110.43 110.90 90.00
Last column: nearest neighbours and their distance in Å.
Positions (direct):
Pd  0.2019  0.7019  0.4039  2 Si 2.56, 2 Ga 2.67
Ba  0.4427  0.4427  0.8854  8 Ga 3.40-3.55, 4 Pd 3.42-3.61, 4 Si 3.44
Si  0.8140  0.8140  0.6279  2 Pd 2.56, 3 Ga 2.57-2.71
Ga  0.6907  0.1907  0.3815  2 Si 2.57, 2 Ga 2.64
Ga  0.0628  0.0628  0.1256  2 Ga 2.64, 2 Pd 2.67, 1 Si 2.71

Entry 4:
Below is a geometry-optimized Ba2GaSiPd6 structure, with properties calculated at the GGA-PBE level.

Output
- space group = No. 12
- energy relative to the elements, uncorrected (eV/f.u.) = -6.41
- uncorrected energy (eV per atom) = -4.986
- Fermi-level density of states (states/eV/f.u.) = 2.68

abc: 5.9254 7.8780 6.9481
angles: 53.32 64.75 90.00
Last column: nearest neighbours and their distance in Å.
Positions (direct):
Pd  0.2699  0.7616  0.9364  1 Si 2.39, 1 Ga 2.58
Pd  0.2511  0.1411  0.4972  1 Si 2.47, 1 Ga 2.57
Pd  0.7301  0.2384  0.0636  1 Si 2.39, 1 Ga 2.58
Pd  0.7489  0.8589  0.5028  1 Si 2.47, 1 Ga 2.57
Pd  0.2068  0.2385  0.0632  1 Si 2.39, 1 Ga 2.58
Pd  0.7932  0.7615  0.9368  1 Si 2.39, 1 Ga 2.58
Ba  0.2644  0.7108  0.4714  11 Pd 3.24-3.50
Ba  0.7356  0.2892  0.5286  11 Pd 3.24-3.50
Si  0.5000  0.5000  0.0000  6 Pd 2.39-2.47
Ga  0.0000  0.0000  0.0000  6 Pd 2.57-2.58